No. 1
# TaMoAsSe2, optimized geometry, DFT GGA-PBE
# - formation energy (no corrections) (eV per atom) = 0.694
# - polymorph energy (0 for the lowest one) (eV/atom) = 0.000
# - D(E_F) (states/eV/f.u.) = 3.33
data_TaMoAsSe2
_symmetry_space_group_name_H-M 'P 4/m m m'
_symmetry_Int_Tables_number 123
_symmetry_space_group_name_Hall '-P 4 2'
_cell_length_a 4.979
_cell_length_b 4.979
_cell_length_c 5.063
_cell_angle_alpha 90.00
_cell_angle_beta 90.00
_cell_angle_gamma 90.00
loop_
_atom_site_label
_atom_site_type_symbol
_atom_site_fract_x
_atom_site_fract_y
_atom_site_fract_z
_atom_site_occupancy
Ta1 Ta 0.000 0.000 0.000 1
Mo1 Mo 0.500 0.500 0.500 1
As1 As 0.000 0.000 0.500 1
Se1 Se 0.000 0.500 0.000 1



No. 2
# Dy3GaRu3, optimized geometry, DFT GGA-PBE
# - energy of formation (eV per atom) = -0.4510
# - D(E_F) (states/eV/f.u.) = 4.79
data_Dy3GaRu3
_symmetry_space_group_name_H-M 'C m c m'
_symmetry_Int_Tables_number 63
_symmetry_space_group_name_Hall '-C 2c 2'
_cell_length_a 4.176
_cell_length_b 10.370
_cell_length_c 13.402
_cell_angle_alpha 90.00
_cell_angle_beta 90.00
_cell_angle_gamma 90.00
loop_
_atom_site_label
_atom_site_type_symbol
_atom_site_fract_x
_atom_site_fract_y
_atom_site_fract_z
_atom_site_occupancy
Dy1 Dy 0.000 0.012 0.250 1
Dy2 Dy 0.000 0.299 0.105 1
Ga1 Ga 0.000 0.000 0.000 1
Ru1 Ru 0.000 0.280 0.750 1
Ru2 Ru 0.000 0.413 0.594 1



No. 3
# Tb5Pr2Ho12, optimized geometry, DFT GGA-PBE
# - energy of formation (eV per atom) = 0.0857
# - D(E_F) (states/eV/f.u.) = 28.37
data_Tb5Pr2Ho12
_symmetry_space_group_name_H-M 'P -1'
_symmetry_Int_Tables_number 2
_cell_length_a 6.737
_cell_length_b 8.764
_cell_length_c 11.380
_cell_angle_alpha 110.97
_cell_angle_beta 92.37
_cell_angle_gamma 100.48
loop_
_symmetry_equiv_pos_as_xyz
'x,y,z'
'-x,-y,-z'
loop_
_atom_site_label
_atom_site_type_symbol
_atom_site_fract_x
_atom_site_fract_y
_atom_site_fract_z
_atom_site_occupancy
Tb1 Tb 0.000 0.000 0.000 1
Tb2 Tb 0.121 0.262 0.514 1
Tb3 Tb 0.453 0.817 0.038 1
Pr1 Pr 0.342 0.617 0.427 1
Ho1 Ho 0.112 0.694 0.725 1
Ho2 Ho 0.117 0.859 0.267 1
Ho3 Ho 0.160 0.444 0.086 1
Ho4 Ho 0.333 0.427 0.814 1
Ho5 Ho 0.347 0.023 0.634 1
Ho6 Ho 0.382 0.220 0.251 1



Number 1: volume 126 Å³ per cell. Number 2: volume 580 Å³ per cell. Number 3: volume 613 Å³ per cell.